VASP calculation (PBE) on LaZn2InPd5 after structural relaxation.

Calculated values
energy relative to the elements	-0.442	eV per atom
D(E_F)	3.8	states/eV/f.u.
theoretical density	9.057	g cm⁻³

The structure in extended XYZ format:
```
9
Lattice="4.650 0.000 0.000 0.000 4.650 0.000 0.000 0.000 7.771" Properties=species:S:1:pos:R:3 pbc="T T T"
La 0.000 0.000 0.000
Zn 2.325 2.325 2.684
Zn 2.325 2.325 5.087
In 0.000 0.000 3.885
Pd 0.000 2.325 1.961
Pd 0.000 2.325 5.810
Pd 2.325 0.000 1.961
Pd 2.325 0.000 5.810
Pd 2.325 2.325 0.000
```



VASP calculation (PBE) on HfNb2C3 after structural relaxation.

Calculated values
energy relative to the elements	-0.654	eV per atom
D(E_F)	1.3	states/eV/f.u.
theoretical density	9.421	g cm⁻³

The structure in extended XYZ format:
```
6
Lattice="-1.606 2.279 4.820 1.606 -2.279 4.820 1.606 2.279 -4.820" Properties=species:S:1:pos:R:3 pbc="T T T"
Hf 0.000 0.000 0.000
Nb 0.000 0.000 3.227
Nb 0.000 0.000 6.413
C 1.606 0.000 1.623
C 0.000 2.279 0.000
C 0.000 2.279 3.198
```



VASP calculation (PBE) on NaZrGaBr6 after structural relaxation.

Calculated values
D(E_F)	0.0	states/eV/f.u.
formation energy (no corrections)	-1.2348	eV/atom
theoretical density	3.591	g cm⁻³

The structure in extended XYZ format:
```
18
Lattice="7.336 0.000 0.000 -3.668 6.353 0.000 0.000 0.000 13.166" Properties=species:S:1:pos:R:3 pbc="T T T"
Na 0.000 4.235 3.291
Na 3.668 2.118 9.874
Zr 0.000 4.235 9.874
Zr 3.668 2.118 3.291
Ga 0.000 0.000 0.000
Ga 0.000 0.000 6.583
Br -1.129 2.386 8.331
Br -2.166 4.182 11.417
Br 1.129 2.386 11.417
Br -1.036 6.138 8.331
Br 2.631 0.215 1.748
Br 1.502 2.171 4.834
Br 2.166 4.182 8.331
Br 1.036 6.138 11.417
Br 4.704 0.215 4.834
Br 2.538 3.966 1.748
Br 5.834 2.171 1.748
Br 4.797 3.966 4.834
```



VASP calculation (PBE) on TbPm5Nd8 after structural relaxation.

Calculated values
energy relative to the elements	0.236	eV per atom
D(E_F)	20.6	states/eV/f.u.
theoretical density	6.811	g cm⁻³

The structure in extended XYZ format:
```
14
Lattice="-4.902 4.902 5.168 4.902 -4.902 5.168 4.902 4.902 -5.168" Properties=species:S:1:pos:R:3 pbc="T T T"
Tb 0.000 0.000 0.000
Pm 2.040 3.854 -1.810
Pm 5.951 2.040 1.810
Pm 2.863 1.049 3.358
Pm 0.000 4.902 2.584
Pm -1.049 2.863 6.978
Nd 3.113 0.818 -0.045
Nd 5.586 3.201 -1.579
Nd 4.085 -1.789 5.213
Nd -0.684 1.702 3.589
Nd 3.201 4.219 1.579
Nd 0.818 6.692 0.045
Nd 1.702 0.684 6.747
Nd 1.789 4.085 5.123
```



VASP calculation (PBE) on BaLiTc2 after structural relaxation.

Calculated values
E above lowest polymorph	426	meV per atom
energy relative to the elements	0.799	eV per atom
D(E_F)	3.2	states/eV/f.u.
theoretical density	6.526	g cm⁻³

The structure in extended XYZ format:
```
4
Lattice="3.167 0.000 0.000 0.000 3.844 0.000 0.000 0.000 7.113" Properties=species:S:1:pos:R:3 pbc="T T T"
Ba 0.000 0.000 0.000
Li 0.000 0.000 3.556
Tc 1.584 1.922 2.484
Tc 1.584 1.922 4.629
```



VASP calculation (PBE) on U2ClF6 after structural relaxation.

Calculated values
D(E_F)	13.7	states/eV/f.u.
formation energy (no corrections)	-3.2537	eV/atom
theoretical density	7.136	g cm⁻³

The structure in extended XYZ format:
```
9
Lattice="-2.098 3.674 4.721 2.098 -3.674 4.721 2.098 3.674 -4.721" Properties=species:S:1:pos:R:3 pbc="T T T"
U 0.000 0.000 1.975
U 0.000 0.000 7.467
Cl 0.000 0.000 4.721
F 2.098 -1.231 2.048
F 0.000 1.210 0.000
F 2.098 1.231 2.048
F 0.000 2.443 2.673
F 0.000 6.138 0.000
F 0.000 4.904 2.673
```



VASP calculation (PBE) on NaTiMn2H after structural relaxation.

Calculated values
D(E_F)	5.1	states/eV/f.u.
theoretical density	4.549	g cm⁻³
energy	-5.72	eV per atom

The structure in extended XYZ format:
```
5
Lattice="4.075 0.000 0.000 0.000 4.075 0.000 0.000 0.000 3.994" Properties=species:S:1:pos:R:3 pbc="T T T"
Na 0.000 0.000 0.000
Ti 2.038 2.038 0.000
Mn 0.000 2.038 1.997
Mn 2.038 0.000 1.997
H 2.038 2.038 1.997
```



VASP calculation (PBE) on CaLaPr2Sb4 after structural relaxation.

Calculated values
D(E_F)	5.0	states/eV/f.u.
formation energy (no corrections)	-1.0891	eV/atom
theoretical density	5.804	g cm⁻³

The structure in extended XYZ format:
```
8
Lattice="7.893 0.000 0.000 0.000 4.569 0.000 -2.647 0.000 7.519" Properties=species:S:1:pos:R:3 pbc="T T T"
Ca 0.000 0.000 0.000
La 3.947 2.285 0.000
Pr -1.323 2.285 3.759
Pr 2.623 0.000 3.759
Sb -0.019 0.000 5.622
Sb 1.307 2.285 1.894
Sb 3.939 2.285 5.625
Sb 5.265 0.000 1.897
```



VASP calculation (PBE) on Ba2Ga3AgHg4 after structural relaxation.

Calculated values
energy relative to the elements	-0.329	eV per atom
D(E_F)	5.6	states/eV/f.u.
theoretical density	8.634	g cm⁻³

The structure in extended XYZ format:
```
10
Lattice="4.963 0.000 0.000 0.000 4.963 0.000 0.000 0.000 10.886" Properties=species:S:1:pos:R:3 pbc="T T T"
Ba 0.000 2.481 2.692
Ba 2.481 0.000 8.193
Ga 0.000 0.000 0.000
Ga 0.000 2.481 6.812
Ga 2.481 0.000 4.074
Ag 2.481 2.481 0.000
Hg 0.000 0.000 5.443
Hg 0.000 2.481 9.510
Hg 2.481 0.000 1.376
Hg 2.481 2.481 5.443
```



VASP calculation (PBE) on Tb5Pm4Sm after structural relaxation.

Calculated values
E above lowest polymorph	60	meV per atom
energy relative to the elements	0.244	eV per atom
D(E_F)	13.8	states/eV/f.u.
theoretical density	7.419	g cm⁻³

The structure in extended XYZ format:
```
10
Lattice="-5.317 5.317 3.019 5.317 -5.317 3.019 5.317 5.317 -3.019" Properties=species:S:1:pos:R:3 pbc="T T T"
Tb 0.000 0.000 0.000
Tb 3.306 3.306 -1.437
Tb 2.011 -2.011 1.582
Tb -2.011 2.011 1.582
Tb 2.011 2.011 1.582
Pm 5.317 -1.861 1.676
Pm 5.317 1.861 1.676
Pm -1.861 5.317 1.676
Pm 1.861 5.317 1.676
Sm 0.000 0.000 3.194
```



VASP calculation (PBE) on K15Ag after structural relaxation.

Calculated values
energy relative to the elements	0.046	eV per atom
D(E_F)	11.7	states/eV/f.u.
theoretical density	1.097	g cm⁻³

The structure in extended XYZ format:
```
16
Lattice="9.151 0.000 0.000 -4.575 7.925 0.000 0.000 0.000 14.496" Properties=species:S:1:pos:R:3 pbc="T T T"
K 0.000 0.000 0.000
K -2.212 4.006 7.248
K 2.165 1.250 3.982
K 2.165 1.250 10.514
K 0.000 5.283 3.465
K 0.000 5.283 11.031
K 2.212 4.006 7.248
K 0.000 7.837 7.248
K 4.575 0.079 0.000
K 2.356 3.923 0.000
K 6.986 1.250 3.982
K 6.986 1.250 10.514
K 4.575 5.425 3.982
K 4.575 5.425 10.514
K 6.795 3.923 0.000
Ag 0.000 0.000 7.248
```



VASP calculation (PBE) on K2RhAuN after structural relaxation.

Calculated values
E above lowest polymorph	0	meV per atom
D(E_F)	2.2	states/eV/f.u.
formation energy (no corrections)	0.0147	eV/atom
theoretical density	5.032	g cm⁻³

The structure in extended XYZ format:
```
5
Lattice="5.912 0.000 0.000 0.000 5.912 0.000 0.000 0.000 3.702" Properties=species:S:1:pos:R:3 pbc="T T T"
K 0.000 2.956 0.000
K 2.956 0.000 0.000
Rh 0.000 0.000 1.851
Au 2.956 2.956 1.851
N 0.000 0.000 0.000
```



VASP calculation (PBE) on Cr2CdRh3 after structural relaxation.

Calculated values
energy relative to the elements	-0.056	eV per atom
D(E_F)	6.3	states/eV/f.u.
theoretical density	10.025	g cm⁻³

The structure in extended XYZ format:
```
6
Lattice="2.806 0.000 0.000 0.000 2.806 0.000 0.000 0.000 11.049" Properties=species:S:1:pos:R:3 pbc="T T T"
Cr 0.000 0.000 1.779
Cr 0.000 0.000 9.270
Cd 0.000 0.000 5.524
Rh 1.403 1.403 0.000
Rh 1.403 1.403 3.357
Rh 1.403 1.403 7.692
```



VASP calculation (PBE) on SrMnNi2 after structural relaxation.

Calculated values
energy relative to the elements	0.213	eV per atom
D(E_F)	2.9	states/eV/f.u.
theoretical density	6.239	g cm⁻³

The structure in extended XYZ format:
```
4
Lattice="3.191 0.000 0.000 0.000 3.191 0.000 0.000 0.000 6.794" Properties=species:S:1:pos:R:3 pbc="T T T"
Sr 0.000 0.000 0.000
Mn 0.000 0.000 3.397
Ni 1.596 1.596 2.172
Ni 1.596 1.596 4.622
```



VASP calculation (PBE) on NbFe2Co2 after structural relaxation.

Calculated values
E above lowest polymorph	0	meV per atom
energy relative to the elements	0.063	eV per atom
D(E_F)	4.1	states/eV/f.u.
theoretical density	8.492	g cm⁻³

The structure in extended XYZ format:
```
10
Lattice="6.844 0.000 0.000 0.000 6.844 0.000 0.000 0.000 2.692" Properties=species:S:1:pos:R:3 pbc="T T T"
Nb 0.000 0.000 0.000
Nb 3.422 3.422 0.000
Fe 1.005 2.417 0.000
Fe 2.417 5.840 0.000
Fe 4.427 1.005 0.000
Fe 5.840 4.427 0.000
Co 1.006 4.428 1.346
Co 2.416 1.006 1.346
Co 4.428 5.838 1.346
Co 5.838 2.416 1.346
```



VASP calculation (PBE) on LaBe2Tc after structural relaxation.

Calculated values
E above lowest polymorph	59	meV per atom
energy relative to the elements	0.048	eV per atom
D(E_F)	3.8	states/eV/f.u.
theoretical density	6.737	g cm⁻³

The structure in extended XYZ format:
```
4
Lattice="3.238 0.000 0.000 0.000 3.214 0.000 -0.014 0.000 6.036" Properties=species:S:1:pos:R:3 pbc="T T T"
La 0.000 0.000 0.000
Be 1.615 1.607 2.028
Be 1.609 1.607 4.008
Tc -0.007 0.000 3.018
```



VASP calculation (PBE) on Mg4As2N after structural relaxation.

Calculated values
D(E_F)	1.1	states/eV/f.u.
formation energy (no corrections)	-0.5236	eV/atom
theoretical density	3.500	g cm⁻³

The structure in extended XYZ format:
```
7
Lattice="6.214 -1.642 0.000 6.214 1.642 0.000 -3.255 0.000 6.072" Properties=species:S:1:pos:R:3 pbc="T T T"
Mg -0.624 0.000 1.997
Mg 1.500 0.000 5.698
Mg 7.672 0.000 0.373
Mg 9.796 0.000 4.075
As 3.165 0.000 1.922
As 6.007 0.000 4.150
N 0.000 0.000 0.000
```



VASP calculation (PBE) on VMoP2 after structural relaxation.

Calculated values
E above lowest polymorph	0	meV per atom
energy relative to the elements	-0.736	eV per atom
D(E_F)	2.2	states/eV/f.u.
theoretical density	6.225	g cm⁻³

The structure in extended XYZ format:
```
4
Lattice="3.176 0.000 0.000 -1.588 2.750 0.000 0.000 0.000 6.378" Properties=species:S:1:pos:R:3 pbc="T T T"
V 0.000 0.000 0.000
Mo 0.000 0.000 3.189
P 0.000 1.833 4.843
P 1.588 0.917 1.536
```



VASP calculation (PBE) on Cs2AcHg2Te4 after structural relaxation.

Calculated values
D(E_F)	1.1	states/eV/f.u.
formation energy (no corrections)	-0.8867	eV/atom
theoretical density	6.120	g cm⁻³

The structure in extended XYZ format:
```
9
Lattice="8.786 -2.569 0.000 8.786 2.569 0.000 -2.849 0.000 8.440" Properties=species:S:1:pos:R:3 pbc="T T T"
Cs 2.132 0.000 0.650
Cs 12.591 0.000 7.790
Ac -1.425 0.000 4.220
Hg 4.406 0.000 4.161
Hg 10.317 0.000 4.279
Te 1.626 0.000 5.680
Te 6.511 0.000 6.267
Te 8.212 0.000 2.173
Te 13.098 0.000 2.760
```



VASP calculation (PBE) on Li2PmHo after structural relaxation.

Calculated values
E above lowest polymorph	0	meV per atom
energy relative to the elements	0.153	eV per atom
D(E_F)	4.4	states/eV/f.u.
theoretical density	5.116	g cm⁻³

The structure in extended XYZ format:
```
4
Lattice="3.737 0.000 0.000 0.000 3.737 0.000 0.000 0.000 7.525" Properties=species:S:1:pos:R:3 pbc="T T T"
Li 0.000 0.000 1.842
Li 0.000 0.000 5.683
Pm 1.869 1.869 3.763
Ho 1.869 1.869 0.000
```